Record 1
This record from Alexandria via LeMat-Bulk describes a relaxed Y2NiGe crystal. The functional is PBE-GGA.

Values from the calculation:
E_form ... -525 meV per atom
Size of the total moment ... 0.00 μB per formula unit
Energy ... -6.357 eV per atom
Volume ... 84.90 Å³/cell
Symmetry ... No. 123

abc: 3.4468 3.4468 7.1463
angles: 90.00 90.00 90.00
Closest atoms and distances in Å follow each position.
Atoms (fractional coordinates):
1 Ge 0.5000 0.5000 0.5000  8 Y 3.08, 4 Ge 3.45
2 Y 0.0000 0.0000 0.7643  4 Ni 2.96, 4 Ge 3.08
3 Y 0.0000 0.0000 0.2357  4 Ni 2.96, 4 Ge 3.08
4 Ni 0.5000 0.5000 0.0000  8 Y 2.96



Record 2
This record from Alexandria via LeMat-Bulk describes a relaxed PrDyLuSn crystal. The functional is PBE-GGA.

Values from the calculation:
E_form ... -243 meV per atom
Size of the total moment ... 0.00 μB per formula unit
Energy ... -4.719 eV per atom
Volume ... 114.66 Å³/cell
Symmetry ... No. 216

abc: 5.4531 5.4531 5.4531
angles: 60.00 60.00 60.00
Closest atoms and distances in Å follow each position.
Atoms (fractional coordinates):
1 Sn 0.5000 0.5000 0.5000  4 Dy 3.34, 4 Pr 3.34
2 Dy 0.7500 0.7500 0.7500  4 Sn 3.34, 4 Lu 3.34
3 Lu 0.0000 0.0000 0.0000  4 Dy 3.34, 4 Pr 3.34
4 Pr 0.2500 0.2500 0.2500  4 Sn 3.34, 4 Lu 3.34



Record 3
This record from Alexandria via LeMat-Bulk describes a relaxed YFeHg2 crystal. The functional is PBE-GGA.

Values from the calculation:
E_form ... 119 meV per atom
Size of the total moment ... 2.64 μB per formula unit
Energy ... -3.763 eV per atom
Volume ... 84.70 Å³/cell
Symmetry ... No. 216

abc: 4.9295 4.9295 4.9295
angles: 60.00 60.00 60.00
Closest atoms and distances in Å follow each position.
Atoms (fractional coordinates):
1 Hg 0.2500 0.2500 0.2500  4 Hg 3.02, 4 Fe 3.02
2 Hg 0.0000 0.0000 0.0000  4 Hg 3.02, 4 Y 3.02
3 Fe 0.5000 0.5000 0.5000  4 Hg 3.02, 4 Y 3.02
4 Y 0.7500 0.7500 0.7500  4 Hg 3.02, 4 Fe 3.02



The highest volume belongs to which entry? PrDyLuSn